[1]
The following is a DFT calculation (PBE-GGA) of an optimized crystal structure of ZrAsAu.

Properties
- V: 21.41 A^3/atom
- Energy relative to the elements: -0.5276 eV/atom
- Fermi-level density of states: 1.68 states/eV per cell
- M_tot: 0.000 μB/cell

Cell lengths 3.779, 3.721, 9.137 Å; angles 90.00, 91.18, 90.00 degrees
Fractional positions:
Zr1 0.230 0.000 0.164
Zr2 0.230 0.500 0.664
Au1 0.936 0.500 0.952
Au2 0.936 0.000 0.452
As1 0.734 0.500 0.241
As2 0.734 0.000 0.741

=====

[2]
The following is a DFT calculation (PBE-GGA) of an optimized crystal structure of TmUIn2O8.

Properties
- V: 14.23 A^3/atom
- E: -89.18 eV/cell
- Fermi-level density of states: 9.57 states/eV per cell
- M_tot: 0.808 μB/cell

Cell lengths 5.012, 5.009, 6.804 Å; angles 90.00, 90.00, 90.33 degrees
Site moments in Bohr magnetons follow the coordinates.
Fractional positions:
O1 0.311 0.309 0.500  0.21
O2 0.186 0.812 0.233  0.04
O3 0.689 0.691 0.500  0.21
O4 0.302 0.300 0.000  0.05
O5 0.814 0.188 0.767  0.04
O6 0.698 0.700 0.000  0.05
O7 0.814 0.188 0.233  0.04
O8 0.186 0.812 0.767  0.04
U1 0.000 0.000 0.000  -0.01
In1 0.500 0.500 0.749  0.00
In2 0.500 0.500 0.251  0.00
Tm1 0.000 0.000 0.500  0.02

=====

[3]
The following is a DFT calculation (PBE-GGA) of an optimized crystal structure of TlPIr2.

Properties
- V: 16.34 A^3/atom
- Energy relative to the elements: 0.2094 eV/atom
- Energy above the most stable polymorph in this dataset: 155 meV/atom
- Fermi-level density of states: 2.22 states/eV per cell
- M_tot: 0.000 μB/cell

Cell lengths 2.944, 2.944, 7.539 Å; angles 90.00, 90.00, 90.00 degrees
Fractional positions:
Ir1 0.000 0.000 0.437
Ir2 0.000 0.000 0.063
P1 0.500 0.500 0.250
Tl1 0.500 0.500 0.750

=====

[4]
The following is a DFT calculation (PBE-GGA) of an optimized crystal structure of Cs11RbAu5.

Properties
- V: 64.01 A^3/atom
- Energy relative to the elements: -0.1836 eV/atom
- Fermi-level density of states: 15.39 states/eV per cell
- M_tot: 0.000 μB/cell

Cell lengths 9.355, 11.116, 11.116 Å; angles 102.34, 99.66, 99.66 degrees
Fractional positions:
Au1 0.713 0.334 0.005
Au2 0.713 0.005 0.334
Au3 0.287 0.995 0.666
Au4 0.000 0.500 0.500
Au5 0.287 0.666 0.995
Cs1 0.091 0.460 0.189
Cs2 0.634 0.330 0.330
Cs3 0.909 0.540 0.811
Cs4 0.500 0.000 0.000
Cs5 0.332 0.328 0.867
Cs6 0.332 0.867 0.328
Cs7 0.668 0.133 0.672
Cs8 0.909 0.811 0.540
Cs9 0.366 0.670 0.670
Cs10 0.668 0.672 0.133
Cs11 0.091 0.189 0.460
Rb1 0.000 0.000 0.000

=====

[5]
The following is a DFT calculation (PBE-GGA) of an optimized crystal structure of AgPb4Au2.

Properties
- V: 26.72 A^3/atom
- Energy relative to the elements: -0.0134 eV/atom
- Fermi-level density of states: 2.10 states/eV per cell
- M_tot: 0.000 μB/cell

Cell lengths 3.784, 8.493, 7.574 Å; angles 129.80, 90.00, 90.00 degrees
Fractional positions:
Au1 0.500 0.636 0.696
Au2 0.500 0.221 0.304
Pb1 0.500 0.804 0.207
Pb2 0.000 0.348 0.694
Pb3 0.500 0.053 0.793
Pb4 0.000 0.509 0.306
Ag1 0.000 0.929 0.000

=====

[6]
The following is a DFT calculation (PBE-GGA) of an optimized crystal structure of ScTlZn.

Properties
- V: 20.81 A^3/atom
- Energy relative to the elements: -0.1437 eV/atom
- Fermi-level density of states: 4.96 states/eV per cell
- M_tot: 0.000 μB/cell

Cell lengths 6.235, 4.767, 8.402 Å; angles 90.00, 90.00, 90.00 degrees
Fractional positions:
Sc1 0.225 0.750 0.919
Sc2 0.775 0.250 0.081
Sc3 0.725 0.750 0.581
Sc4 0.275 0.250 0.419
Tl1 0.990 0.250 0.742
Tl2 0.010 0.750 0.258
Tl3 0.490 0.250 0.758
Tl4 0.510 0.750 0.242
Zn1 0.223 0.750 0.586
Zn2 0.277 0.250 0.086
Zn3 0.723 0.750 0.914
Zn4 0.777 0.250 0.414

=====

[7]
The following is a DFT calculation (PBE-GGA) of an optimized crystal structure of Tc2MoPt.

Properties
- V: 15.30 A^3/atom
- Energy relative to the elements: 0.1835 eV/atom
- Energy above the most stable polymorph in this dataset: 351 meV/atom
- Fermi-level density of states: 6.37 states/eV per cell
- M_tot: 0.000 μB/cell

Cell lengths 4.423, 4.423, 4.423 Å; angles 60.00, 60.00, 60.00 degrees
Fractional positions:
Pt1 0.500 0.500 0.500
Tc1 0.250 0.250 0.250
Tc2 0.750 0.750 0.750
Mo1 0.000 0.000 0.000

=====

[8]
The following is a DFT calculation (PBE-GGA) of an optimized crystal structure of Re2POs.

Properties
- V: 14.41 A^3/atom
- Energy relative to the elements: 0.4129 eV/atom
- Fermi-level density of states: 3.35 states/eV per cell
- M_tot: 0.000 μB/cell

Cell lengths 4.777, 4.777, 2.840 Å; angles 90.00, 90.00, 117.25 degrees
Fractional positions:
Re1 0.000 0.500 0.000
Re2 0.500 0.000 0.000
Os1 0.000 0.000 0.500
P1 0.500 0.500 0.500